Record 1
VASP calculation (PBE) on a geometry-optimized K3CeMg2S6 structure.

a = 6.8079 Å, b = 6.8079 Å, c = 7.7363 Å
α = 98.43°, β = 98.43°, γ = 120.01°
With the nearest neighbours (Å) after each atom.
Fractional coordinates of all 12 atoms:
S 0.4060 0.0656 0.1968  2 Mg 2.67-2.68, 1 Ce 2.74
S 0.0656 0.4060 0.1968  2 Mg 2.67-2.68, 1 Ce 2.74
S 0.5940 0.9344 0.8032  2 Mg 2.67-2.68, 1 Ce 2.74
S 0.7252 0.7252 0.1968  2 Mg 2.68, 1 Ce 2.74
S 0.9344 0.5940 0.8032  2 Mg 2.67-2.68, 1 Ce 2.74
S 0.2748 0.2748 0.8032  2 Mg 2.68, 1 Ce 2.74
K 0.5000 0.5000 0.5000  6 S 3.16-3.21
K 0.1667 0.8333 0.5000  6 S 3.16-3.21
K 0.8333 0.1667 0.5000  6 S 3.16-3.21
Ce 0.0000 0.0000 0.0000  6 S 2.74
Mg 0.6669 0.3331 0.0000  6 S 2.67-2.68
Mg 0.3331 0.6669 0.0000  6 S 2.67-2.68

Results
Raw formation energy (eV/atom): -1.322

---

Record 2
VASP calculation (PBE) on a geometry-optimized K3CeMg2Se6 structure.

a = 7.0973 Å, b = 7.0973 Å, c = 8.1041 Å
α = 98.40°, β = 98.40°, γ = 119.97°
With the nearest neighbours (Å) after each atom.
Fractional coordinates of all 12 atoms:
Se 0.0665 0.4073 0.2001  2 Mg 2.81, 1 Ce 2.87
Se 0.5927 0.9335 0.7999  2 Mg 2.81, 1 Ce 2.87
Se 0.7258 0.7258 0.1997  2 Mg 2.80, 1 Ce 2.87
Se 0.2742 0.2742 0.8003  2 Mg 2.80, 1 Ce 2.87
Se 0.4073 0.0665 0.2001  2 Mg 2.81, 1 Ce 2.87
Se 0.9335 0.5927 0.7999  2 Mg 2.81, 1 Ce 2.87
Ce 0.0000 0.0000 0.0000  6 Se 2.87
Mg 0.3335 0.6665 0.0000  6 Se 2.80-2.81
Mg 0.6665 0.3335 0.0000  6 Se 2.80-2.81
K 0.8343 0.1657 0.5000  6 Se 3.29-3.34
K 0.5000 0.5000 0.5000  6 Se 3.28-3.34
K 0.1657 0.8343 0.5000  6 Se 3.29-3.34

Results
Raw formation energy (eV/atom): -1.253

---

Record 3
VASP calculation (PBE) on a geometry-optimized K4Ce3MgSe8 structure.

a = 8.5802 Å, b = 9.1142 Å, c = 8.5815 Å
α = 118.10°, β = 119.99°, γ = 90.00°
With the nearest neighbours (Å) after each atom.
Fractional coordinates of all 16 atoms:
Se 0.2315 0.7032 0.4630  1 Mg 2.89, 2 Ce 2.94
Se 0.2594 0.2970 0.0282  1 Mg 2.88, 2 Ce 2.94
Se 0.7685 0.2968 0.5370  1 Mg 2.89, 2 Ce 2.94
Se 0.7688 0.2970 0.0282  1 Mg 2.88, 2 Ce 2.94
Se 0.7406 0.7030 0.9718  1 Mg 2.88, 2 Ce 2.94
Se 0.2631 0.2894 0.5263  3 Ce 2.95
Se 0.2312 0.7030 0.9718  1 Mg 2.88, 2 Ce 2.94
Se 0.7369 0.7106 0.4737  3 Ce 2.95
Ce 0.5000 0.5000 0.0000  6 Se 2.94-2.95
Ce 0.0000 0.5000 0.5000  6 Se 2.94-2.95
Ce 0.5000 0.5000 0.5000  6 Se 2.94-2.95
K 0.0000 0.0000 0.5000  6 Se 3.32-3.34
K 0.5000 0.0000 0.5000  6 Se 3.32-3.34
K 0.5000 0.0000 0.0000  6 Se 3.39-3.40
K 0.0000 0.0000 0.0000  6 Se 3.32-3.34
Mg 0.0000 0.5000 0.0000  6 Se 2.88-2.89

Results
Raw formation energy (eV/atom): -1.579

---

Record 4
VASP calculation (PBE) on a geometry-optimized K3Ce2MgSe6 structure.

a = 7.3670 Å, b = 7.3670 Å, c = 8.0316 Å
α = 98.79°, β = 98.79°, γ = 120.00°
With the nearest neighbours (Å) after each atom.
Fractional coordinates of all 12 atoms:
Se 0.2590 0.2590 0.7967  1 Mg 2.87, 2 Ce 2.93
Se 0.7410 0.7410 0.2033  1 Mg 2.87, 2 Ce 2.93
Se 0.6054 0.9322 0.7966  1 Mg 2.87, 2 Ce 2.93
Se 0.9322 0.6054 0.7966  1 Mg 2.87, 2 Ce 2.93
Se 0.3946 0.0678 0.2034  1 Mg 2.87, 2 Ce 2.93
Se 0.0678 0.3946 0.2034  1 Mg 2.87, 2 Ce 2.93
Ce 0.6667 0.3333 0.0000  6 Se 2.93
Ce 0.3333 0.6667 0.0000  6 Se 2.93
K 0.5000 0.5000 0.5000  6 Se 3.33-3.38
K 0.1667 0.8333 0.5000  6 Se 3.33-3.38
K 0.8333 0.1667 0.5000  6 Se 3.33-3.38
Mg 0.0000 0.0000 0.0000  6 Se 2.87

Results
Raw formation energy (eV/atom): -1.539

---

Record 5
VASP calculation (PBE) on a geometry-optimized K3Ce3MgSe8 structure.

a = 8.4583 Å, b = 8.4576 Å, c = 9.1641 Å
α = 117.47°, β = 90.00°, γ = 120.00°
With the nearest neighbours (Å) after each atom.
Fractional coordinates of all 15 atoms:
Se 0.2636 0.5273 0.2909  3 Ce 2.93
Se 0.7364 0.4727 0.7091  3 Ce 2.93
Se 0.7368 0.9665 0.6961  1 Mg 2.85, 2 Ce 2.89
Se 0.2295 0.4590 0.6960  1 Mg 2.85, 2 Ce 2.89
Se 0.2296 0.9665 0.6961  1 Mg 2.85, 2 Ce 2.89
Se 0.7705 0.5410 0.3040  1 Mg 2.85, 2 Ce 2.89
Se 0.2632 0.0335 0.3039  1 Mg 2.85, 2 Ce 2.89
Se 0.7704 0.0335 0.3039  1 Mg 2.85, 2 Ce 2.89
Ce 0.5000 0.5000 0.5000  6 Se 2.89-2.93
Ce 0.0000 0.5000 0.5000  6 Se 2.89-2.93
Ce 0.5000 0.0000 0.5000  6 Se 2.89-2.93
K 0.5000 0.5000 0.0000  6 Se 3.32-3.38
K 0.0000 0.5000 0.0000  6 Se 3.32-3.38
K 0.0000 0.0000 0.0000  6 Se 3.32-3.38
Mg 0.0000 0.0000 0.5000  6 Se 2.85

Results
Raw formation energy (eV/atom): -1.545

---

Record 6
VASP calculation (PBE) on a geometry-optimized K4Ce3MgTe8 structure.

a = 9.1584 Å, b = 13.3790 Å, c = 9.1599 Å
α = 133.21°, β = 120.00°, γ = 90.00°
With the nearest neighbours (Å) after each atom.
Fractional coordinates of all 16 atoms:
K 0.0000 0.0000 0.0000  6 Te 3.61-3.62
K 0.5000 0.0000 0.5000  6 Te 3.53-3.55
K 0.5000 0.0000 0.0000  6 Te 3.53-3.55
K 0.0000 0.0000 0.5000  6 Te 3.53-3.55
Te 0.5364 0.2935 0.5617  1 Mg 3.09, 2 Ce 3.16
Te 0.9747 0.7067 0.9493  1 Mg 3.09, 2 Ce 3.16
Te 0.0253 0.2935 0.5617  1 Mg 3.09, 2 Ce 3.16
Te 0.4763 0.7145 0.9526  3 Ce 3.17, 3 K 3.53
Te 0.4636 0.7065 0.4383  1 Mg 3.09, 2 Ce 3.16
Te 0.5237 0.2855 0.0474  3 Ce 3.17, 3 K 3.53
Te 0.9747 0.7065 0.4383  1 Mg 3.09, 2 Ce 3.16
Te 0.0253 0.2933 0.0507  1 Mg 3.09, 2 Ce 3.16
Mg 0.0000 0.5000 0.0000  6 Te 3.09
Ce 0.5000 0.5000 0.5000  6 Te 3.16-3.17
Ce 0.5000 0.5000 0.0000  6 Te 3.16-3.17
Ce 0.0000 0.5000 0.5000  6 Te 3.16-3.17

Results
Raw formation energy (eV/atom): -1.240

---

Record 7
VASP calculation (PBE) on a geometry-optimized K3Ce3MgTe8 structure.

a = 9.0172 Å, b = 9.0144 Å, c = 9.8307 Å
α = 117.28°, β = 90.00°, γ = 120.01°
With the nearest neighbours (Å) after each atom.
Fractional coordinates of all 15 atoms:
Mg 0.0000 0.0000 0.5000  6 Te 3.07
K 0.0000 0.0000 0.0000  6 Te 3.54-3.59
K 0.0000 0.5000 0.0000  6 Te 3.54-3.59
K 0.5000 0.5000 0.0000  6 Te 3.54-3.59
Te 0.7384 0.9699 0.7017  1 Mg 3.07, 2 Ce 3.11
Te 0.7686 0.5372 0.2984  1 Mg 3.07, 2 Ce 3.12
Te 0.2314 0.4628 0.7016  1 Mg 3.07, 2 Ce 3.12
Te 0.2623 0.5247 0.2869  3 Ce 3.15
Te 0.2616 0.0301 0.2983  1 Mg 3.07, 2 Ce 3.11
Te 0.2315 0.9699 0.7017  1 Mg 3.07, 2 Ce 3.11
Te 0.7685 0.0301 0.2983  1 Mg 3.07, 2 Ce 3.11
Te 0.7377 0.4753 0.7131  3 Ce 3.15
Ce 0.5000 0.0000 0.5000  6 Te 3.11-3.15
Ce 0.0000 0.5000 0.5000  6 Te 3.11-3.15
Ce 0.5000 0.5000 0.5000  6 Te 3.11-3.15

Results
Raw formation energy (eV/atom): -1.179

---

Record 8
VASP calculation (PBE) on a geometry-optimized KCeMnN3 structure.

a = 3.7169 Å, b = 6.9301 Å, c = 7.7745 Å
α = 104.45°, β = 90.00°, γ = 105.56°
With the nearest neighbours (Å) after each atom.
Fractional coordinates of all 12 atoms:
N 0.8405 0.6809 0.6146  1 Mn 1.97
N 0.8603 0.7207 0.2344  1 Mn 1.89
N 0.4918 0.9836 0.6818  2 Mn 1.86
N 0.1397 0.2793 0.7656  1 Mn 1.89
N 0.1595 0.3191 0.3854  1 Mn 1.97
N 0.5082 0.0164 0.3182  2 Mn 1.86
Mn 0.0065 0.0130 0.3094  4 N 1.86-1.97
Mn 0.9935 0.9870 0.6906  4 N 1.86-1.97
K 0.6411 0.2823 0.0657  7 N 2.88-3.13
K 0.3589 0.7177 0.9343  7 N 2.88-3.13
Ce 0.6544 0.3087 0.5834  7 N 2.38-2.48
Ce 0.3456 0.6913 0.4166  7 N 2.38-2.48

Results
Raw formation energy (eV/atom): -0.557